*i*
Density functional theory data (GGA+U) for a relaxed structure of SrWN2F. Values from VASP.

Structure (Quantum ESPRESSO input):
```
&SYSTEM
  ibrav = 0, nat = 5, ntyp = 4
/
ATOMIC_SPECIES
Sr 87.62 Sr.upf
W 183.84 W.upf
N 14.01 N.upf
F 19.00 F.upf
CELL_PARAMETERS angstrom
4.763 0.000 0.000
0.000 4.763 0.000
0.000 0.000 4.367
ATOMIC_POSITIONS angstrom
Sr 0.000 0.000 0.000
W 2.382 2.382 2.183
N 0.000 2.382 0.000
N 2.382 0.000 0.000
F 0.000 0.000 2.183
```

## Properties
Space group: P4/mmm (123)
DOS at the Fermi energy in states/eV/f.u.: 2.76



*ii*
Density functional theory data (GGA+U) for a relaxed structure of SrWN2F. Values from VASP.

Structure (Quantum ESPRESSO input):
```
&SYSTEM
  ibrav = 0, nat = 5, ntyp = 4
/
ATOMIC_SPECIES
Sr 87.62 Sr.upf
W 183.84 W.upf
N 14.01 N.upf
F 19.00 F.upf
CELL_PARAMETERS angstrom
4.086 0.000 0.000
0.000 4.086 0.000
0.000 0.000 4.213
ATOMIC_POSITIONS angstrom
Sr 0.000 0.000 0.000
W 2.043 2.043 2.107
N 0.000 2.043 2.107
N 2.043 0.000 2.107
F 2.043 2.043 0.000
```

## Properties
Space group: P4/mmm (123)
DOS at the Fermi energy in states/eV/f.u.: 0.31



Which structure is most stable? *ii*, by 2.069 eV/atom over the runner-up.